Density functional theory data (PBE-GGA) for Pm6As3PbSe2 after structural relaxation.

Summary:
space group = C2/m, No. 12
energy relative to the elements, uncorrected = -17.89 eV per formula unit
spin magnetization = 0.000 μB per atom
raw total energy = -5.92 eV per atom

Cell: 9.5832 9.5832 8.6312 Å, 103.13 103.13 25.61°
Last column: nearest neighbours and their distance in Å.
Atoms (fractional coordinates):
Pm1 0.0004 0.0004 0.2354  3 As 2.94-3.02, 1 Se 3.08, 2 Pb 3.12
Pm2 0.9996 0.9996 0.7646  3 As 2.94-3.02, 1 Se 3.08, 2 Pb 3.12
Pm3 0.3281 0.3281 0.4198  3 As 2.94-3.00, 2 Se 3.08, 1 Pb 3.13
Pm4 0.3354 0.3354 0.9097  3 As 2.97-2.99, 3 Se 3.03-3.06
Pm5 0.6646 0.6646 0.0903  3 As 2.97-2.99, 3 Se 3.03-3.06
Pm6 0.6719 0.6719 0.5802  3 As 2.94-3.00, 2 Se 3.08, 1 Pb 3.13
As1 0.1665 0.1665 0.3319  6 Pm 2.94-3.02
As2 0.5000 0.5000 0.0000  6 Pm 2.94-2.99
As3 0.8335 0.8335 0.6681  6 Pm 2.94-3.02
Pb1 0.5000 0.5000 0.5000  6 Pm 3.12-3.13
Se1 0.1690 0.1690 0.8376  6 Pm 3.03-3.08
Se2 0.8310 0.8310 0.1624  6 Pm 3.03-3.08